# 1
# Ce4PuTh3S8 (PBE-GGA, optimized geometry)
data_Ce4PuTh3S8
_cell_length_a 8.041
_cell_length_b 8.041
_cell_length_c 8.041
_cell_angle_alpha 60.02
_cell_angle_beta 60.02
_cell_angle_gamma 60.02
_space_group_name_H-M_alt 'P 1'
_space_group_IT_number 1
loop_
_space_group_symop_operation_xyz
'x,y,z'
loop_
_atom_site_label
_atom_site_type_symbol
_atom_site_fract_x
_atom_site_fract_y
_atom_site_fract_z
Ce1 Ce 0.000 0.000 0.000
Ce2 Ce 0.000 0.500 0.500
Ce3 Ce 0.500 0.000 0.500
Ce4 Ce 0.500 0.500 0.000
Pu1 Pu 0.500 0.500 0.500
Th1 Th 0.000 0.000 0.500
Th2 Th 0.000 0.500 0.000
Th3 Th 0.500 0.000 0.000
S1 S 0.251 0.251 0.251
S2 S 0.253 0.253 0.745
S3 S 0.253 0.745 0.253
S4 S 0.255 0.747 0.747
S5 S 0.745 0.253 0.253
S6 S 0.747 0.255 0.747
S7 S 0.747 0.747 0.255
S8 S 0.749 0.749 0.749
# * ΔE_f (raw): -1.9421 eV per atom
# * symmetry: R-3m

# 2
# Si2P (PBE-GGA, optimized geometry)
data_Si2P
_cell_length_a 3.958
_cell_length_b 5.365
_cell_length_c 6.953
_cell_angle_alpha 110.57
_cell_angle_beta 90.44
_cell_angle_gamma 111.13
_space_group_name_H-M_alt 'P 1'
_space_group_IT_number 1
loop_
_space_group_symop_operation_xyz
'x,y,z'
loop_
_atom_site_label
_atom_site_type_symbol
_atom_site_fract_x
_atom_site_fract_y
_atom_site_fract_z
Si1 Si 0.000 0.000 0.000
Si2 Si 0.087 0.036 0.352
Si3 Si 0.625 0.269 0.003
Si4 Si 0.726 0.311 0.488
P1 P 0.674 0.598 0.327
P2 P 0.949 0.541 0.831
# * ΔE_f (raw): 0.0692 eV per atom
# * ΔE to the lowest computed polymorph: 66 meV per atom
# * symmetry: P1

# 3
# RbZrReO6 (PBE-GGA, optimized geometry)
data_RbZrReO6
_cell_length_a 5.462
_cell_length_b 5.462
_cell_length_c 6.257
_cell_angle_alpha 90.00
_cell_angle_beta 90.00
_cell_angle_gamma 120.00
_space_group_name_H-M_alt 'P 1'
_space_group_IT_number 1
loop_
_space_group_symop_operation_xyz
'x,y,z'
loop_
_atom_site_label
_atom_site_type_symbol
_atom_site_fract_x
_atom_site_fract_y
_atom_site_fract_z
Rb1 Rb 0.000 0.000 0.000
Zr1 Zr 0.333 0.667 0.529
Re1 Re 0.667 0.333 0.486
O1 O 0.411 0.386 0.324
O2 O 0.412 0.033 0.680
O3 O 0.614 0.024 0.324
O4 O 0.621 0.588 0.680
O5 O 0.967 0.379 0.680
O6 O 0.976 0.589 0.324
# * ΔE_f (raw): -2.1867 eV per atom
# * symmetry: P3

# 4
# CsHg2AsAu (PBE-GGA, optimized geometry)
data_CsHg2AsAu
_cell_length_a 5.668
_cell_length_b 5.668
_cell_length_c 5.131
_cell_angle_alpha 90.00
_cell_angle_beta 90.00
_cell_angle_gamma 90.00
_space_group_name_H-M_alt 'P 1'
_space_group_IT_number 1
loop_
_space_group_symop_operation_xyz
'x,y,z'
loop_
_atom_site_label
_atom_site_type_symbol
_atom_site_fract_x
_atom_site_fract_y
_atom_site_fract_z
Cs1 Cs 0.000 0.000 0.000
Hg1 Hg 0.000 0.500 0.500
Hg2 Hg 0.500 0.000 0.500
As1 As 0.500 0.500 0.500
Au1 Au 0.500 0.500 0.000
# * ΔE to the lowest computed polymorph: 0 meV per atom
# * symmetry: P4/mmm
# * energy relative to the elements: -0.5 eV per formula unit

# 5
# La2Dy2Ho5 (PBE-GGA, optimized geometry)
data_La2Dy2Ho5
_cell_length_a 10.125
_cell_length_b 10.125
_cell_length_c 10.125
_cell_angle_alpha 84.87
_cell_angle_beta 108.10
_cell_angle_gamma 141.15
_space_group_name_H-M_alt 'P 1'
_space_group_IT_number 1
loop_
_space_group_symop_operation_xyz
'x,y,z'
loop_
_atom_site_label
_atom_site_type_symbol
_atom_site_fract_x
_atom_site_fract_y
_atom_site_fract_z
La1 La 0.002 0.127 0.129
La2 La 0.002 0.373 0.375
La3 La 0.998 0.627 0.625
La4 La 0.998 0.873 0.871
Dy1 Dy 0.460 0.460 0.000
Dy2 Dy 0.460 0.960 0.500
Dy3 Dy 0.533 0.293 0.741
Dy4 Dy 0.552 0.793 0.259
Ho1 Ho 0.090 0.179 0.624
Ho2 Ho 0.090 0.966 0.410
Ho3 Ho 0.092 0.600 0.992
Ho4 Ho 0.395 0.089 0.201
Ho5 Ho 0.395 0.694 0.806
Ho6 Ho 0.555 0.466 0.376
Ho7 Ho 0.555 0.679 0.590
Ho8 Ho 0.607 0.100 0.008
Ho9 Ho 0.888 0.194 0.799
Ho10 Ho 0.888 0.589 0.194
# * ΔE to the lowest computed polymorph: 0 meV per atom
# * symmetry: Ima2
# * energy relative to the elements: 1.9 eV per formula unit

# 6
# KLi2SbCl8 (PBE-GGA, optimized geometry)
data_KLi2SbCl8
_cell_length_a 6.256
_cell_length_b 7.121
_cell_length_c 8.917
_cell_angle_alpha 69.32
_cell_angle_beta 83.89
_cell_angle_gamma 84.42
_space_group_name_H-M_alt 'P 1'
_space_group_IT_number 1
loop_
_space_group_symop_operation_xyz
'x,y,z'
loop_
_atom_site_label
_atom_site_type_symbol
_atom_site_fract_x
_atom_site_fract_y
_atom_site_fract_z
K1 K 0.000 0.000 0.000
Li1 Li 0.498 0.525 0.830
Li2 Li 0.502 0.475 0.170
Sb1 Sb 0.000 0.500 0.500
Cl1 Cl 0.121 0.471 0.760
Cl2 Cl 0.167 0.812 0.374
Cl3 Cl 0.325 0.315 0.443
Cl4 Cl 0.437 0.764 0.953
Cl5 Cl 0.563 0.236 0.047
Cl6 Cl 0.675 0.685 0.557
Cl7 Cl 0.833 0.188 0.626
Cl8 Cl 0.879 0.529 0.240
# * ΔE_f (raw): -1.2444 eV per atom
# * symmetry: P-1

# 7
# As2PtAuSe (PBE-GGA, optimized geometry)
data_As2PtAuSe
_cell_length_a 4.813
_cell_length_b 4.813
_cell_length_c 5.228
_cell_angle_alpha 90.00
_cell_angle_beta 90.00
_cell_angle_gamma 90.00
_space_group_name_H-M_alt 'P 1'
_space_group_IT_number 1
loop_
_space_group_symop_operation_xyz
'x,y,z'
loop_
_atom_site_label
_atom_site_type_symbol
_atom_site_fract_x
_atom_site_fract_y
_atom_site_fract_z
As1 As 0.000 0.500 0.000
As2 As 0.500 0.000 0.000
Pt1 Pt 0.000 0.000 0.000
Au1 Au 0.500 0.500 0.500
Se1 Se 0.000 0.000 0.500
# * ΔE_f (raw): 0.6642 eV per atom
# * ΔE to the lowest computed polymorph: 0 meV per atom
# * symmetry: P4/mmm

# 8
# YMo3 (PBE-GGA, optimized geometry)
data_YMo3
_cell_length_a 4.698
_cell_length_b 4.698
_cell_length_c 3.249
_cell_angle_alpha 90.00
_cell_angle_beta 90.00
_cell_angle_gamma 90.00
_space_group_name_H-M_alt 'P 1'
_space_group_IT_number 1
loop_
_space_group_symop_operation_xyz
'x,y,z'
loop_
_atom_site_label
_atom_site_type_symbol
_atom_site_fract_x
_atom_site_fract_y
_atom_site_fract_z
Y1 Y 0.000 0.000 0.000
Mo1 Mo 0.000 0.500 0.500
Mo2 Mo 0.500 0.000 0.500
Mo3 Mo 0.500 0.500 0.000
# * ΔE to the lowest computed polymorph: 194 meV per atom
# * symmetry: P4/mmm
# * energy relative to the elements: 1.8 eV per formula unit

# 9
# Mn2AsIrS (PBE-GGA, optimized geometry)
data_Mn2AsIrS
_cell_length_a 4.309
_cell_length_b 4.309
_cell_length_c 4.622
_cell_angle_alpha 90.00
_cell_angle_beta 90.00
_cell_angle_gamma 90.00
_space_group_name_H-M_alt 'P 1'
_space_group_IT_number 1
loop_
_space_group_symop_operation_xyz
'x,y,z'
loop_
_atom_site_label
_atom_site_type_symbol
_atom_site_fract_x
_atom_site_fract_y
_atom_site_fract_z
Mn1 Mn 0.000 0.500 0.000
Mn2 Mn 0.500 0.000 0.000
As1 As 0.000 0.000 0.000
Ir1 Ir 0.500 0.500 0.500
S1 S 0.000 0.000 0.500
# * ΔE_f (raw): 1.5931 eV per atom
# * symmetry: P4/mmm

# 10
# Ac2Ge4Pd3Rh (PBE-GGA, optimized geometry)
data_Ac2Ge4Pd3Rh
_cell_length_a 4.448
_cell_length_b 4.448
_cell_length_c 10.358
_cell_angle_alpha 90.00
_cell_angle_beta 90.00
_cell_angle_gamma 90.00
_space_group_name_H-M_alt 'P 1'
_space_group_IT_number 1
loop_
_space_group_symop_operation_xyz
'x,y,z'
loop_
_atom_site_label
_atom_site_type_symbol
_atom_site_fract_x
_atom_site_fract_y
_atom_site_fract_z
Ac1 Ac 0.000 0.500 0.247
Ac2 Ac 0.500 0.000 0.753
Ge1 Ge 0.000 0.000 0.000
Ge2 Ge 0.000 0.500 0.621
Ge3 Ge 0.500 0.000 0.379
Ge4 Ge 0.500 0.500 0.000
Pd1 Pd 0.000 0.500 0.869
Pd2 Pd 0.500 0.000 0.131
Pd3 Pd 0.500 0.500 0.500
Rh1 Rh 0.000 0.000 0.500
# * symmetry: P-4m2
# * energy relative to the elements: -8.2 eV per formula unit

# 11
# KNa2HfTe (PBE-GGA, optimized geometry)
data_KNa2HfTe
_cell_length_a 6.028
_cell_length_b 6.028
_cell_length_c 6.302
_cell_angle_alpha 90.00
_cell_angle_beta 90.00
_cell_angle_gamma 90.00
_space_group_name_H-M_alt 'P 1'
_space_group_IT_number 1
loop_
_space_group_symop_operation_xyz
'x,y,z'
loop_
_atom_site_label
_atom_site_type_symbol
_atom_site_fract_x
_atom_site_fract_y
_atom_site_fract_z
K1 K 0.000 0.000 0.000
Na1 Na 0.000 0.500 0.500
Na2 Na 0.500 0.000 0.500
Hf1 Hf 0.000 0.000 0.500
Te1 Te 0.500 0.500 0.000
# * ΔE_f (raw): 1.0549 eV per atom
# * symmetry: P4/mmm

# 12
# CdHgPd (PBE-GGA, optimized geometry)
data_CdHgPd
_cell_length_a 5.750
_cell_length_b 5.750
_cell_length_c 5.750
_cell_angle_alpha 146.42
_cell_angle_beta 146.42
_cell_angle_gamma 48.22
_space_group_name_H-M_alt 'P 1'
_space_group_IT_number 1
loop_
_space_group_symop_operation_xyz
'x,y,z'
loop_
_atom_site_label
_atom_site_type_symbol
_atom_site_fract_x
_atom_site_fract_y
_atom_site_fract_z
Cd1 Cd 0.000 0.000 0.000
Hg1 Hg 0.690 0.690 0.000
Pd1 Pd 0.350 0.350 0.000
# * ΔE to the lowest computed polymorph: 77 meV per atom
# * symmetry: I4mm
# * energy relative to the elements: -0.5 eV per formula unit

Magnetization for the records above, in order: 8.04 0.00 0.00 0.00 0.00 0.00 0.00 0.00 0.02 0.00 3.00 0.00 μB per cell